Record 1
Compound: Tl3Ni2HgF9
Source: Alexandria
Functional: GGA+U
Structure: relaxed

Unit cell a=6.0251 b=6.0251 c=7.5142 alpha=90.00 beta=90.00 gamma=120.00
Last column: magnetic moment on the atom in μB.
Atoms (fractional coordinates):
F: 0.5000 0.5000 0.0000  0.04
F: 0.8235 0.1765 0.6891  0.02
F: 0.5000 0.0000 0.0000  0.04
F: 0.6471 0.8235 0.3109  0.02
F: 0.1765 0.3529 0.3109  0.02
F: 0.1765 0.8235 0.3109  0.02
F: 0.8235 0.6471 0.6891  0.02
F: 0.3529 0.1765 0.6891  0.02
F: 0.0000 0.5000 0.0000  0.04
Hg: 0.0000 0.0000 0.5000  0.03
Tl: 0.6667 0.3333 0.3252  0.00
Tl: 0.0000 0.0000 0.0000  0.01
Tl: 0.3333 0.6667 0.6748  0.00
Ni: 0.6667 0.3333 0.8479  1.84
Ni: 0.3333 0.6667 0.1521  1.84

## Properties
As for the space-group type: No. 164. The value obtained for the total energy is -3.829 eV/atom.

Record 2
Compound: Tl3NiHg2F9
Source: Alexandria
Functional: GGA+U
Structure: relaxed

Unit cell a=6.2895 b=6.2895 c=7.6548 alpha=90.00 beta=90.00 gamma=120.00
Last column: magnetic moment on the atom in μB.
Atoms (fractional coordinates):
Ni: 0.0000 0.0000 0.5000  1.82
Hg: 0.6667 0.3333 0.8116  0.02
Hg: 0.3333 0.6667 0.1884  0.02
F: 0.1524 0.8476 0.3466  0.02
F: 0.3048 0.1524 0.6534  0.02
F: 0.8476 0.6952 0.6534  0.02
F: 0.1524 0.3048 0.3466  0.02
F: 0.8476 0.1524 0.6534  0.02
F: 0.5000 0.5000 0.0000  0.01
F: 0.6952 0.8476 0.3466  0.02
F: 0.0000 0.5000 0.0000  0.01
F: 0.5000 0.0000 0.0000  0.01
Tl: 0.0000 0.0000 0.0000  0.00
Tl: 0.6667 0.3333 0.3224  0.00
Tl: 0.3333 0.6667 0.6776  0.00

## Properties
As for the space-group type: No. 164. The value obtained for the total energy is -3.527 eV/atom.

Record 3
Compound: TlNiHgF6
Source: Alexandria
Functional: GGA+U
Structure: relaxed

Unit cell a=5.7750 b=5.7750 c=9.7462 alpha=90.00 beta=90.00 gamma=120.00
Last column: magnetic moment on the atom in μB.
Atoms (fractional coordinates):
F: 0.0410 0.3707 0.1352  0.00
F: 0.3297 0.9590 0.1352  0.00
F: 0.6293 0.9590 0.3648  0.00
F: 0.9590 0.3297 0.6352  0.00
F: 0.9590 0.6293 0.8648  0.00
F: 0.0410 0.6703 0.3648  0.00
F: 0.6703 0.0410 0.8648  0.00
F: 0.3297 0.3707 0.3648  0.00
F: 0.6293 0.6703 0.1352  0.00
F: 0.3707 0.3297 0.8648  0.00
F: 0.3707 0.0410 0.6352  0.00
F: 0.6703 0.6293 0.6352  0.00
Ni: 0.6667 0.3333 0.7500  1.81
Ni: 0.3333 0.6667 0.2500  1.81
Hg: 0.6667 0.3333 0.2500  0.00
Hg: 0.3333 0.6667 0.7500  0.00
Tl: 0.0000 0.0000 0.5000  -0.14
Tl: 0.0000 0.0000 0.0000  -0.14

## Properties
As for the space-group type: No. 163. The value obtained for the total energy is -3.579 eV/atom.

Record 4
Compound: Tl2Ni3HgF12
Source: Alexandria
Functional: GGA+U
Structure: relaxed

Unit cell a=6.5334 b=6.5334 c=6.5334 alpha=69.98 beta=69.98 gamma=69.98
Last column: magnetic moment on the atom in μB.
Atoms (fractional coordinates):
Tl: 0.4013 0.4013 0.4013  0.01
Tl: 0.5987 0.5987 0.5987  0.01
F: 0.2601 0.2601 0.8828  0.04
F: 0.4443 0.8293 0.8293  0.02
F: 0.8293 0.8293 0.4443  0.02
F: 0.7399 0.7399 0.1172  0.04
F: 0.1707 0.1707 0.5557  0.02
F: 0.1172 0.7399 0.7399  0.04
F: 0.1707 0.5557 0.1707  0.02
F: 0.7399 0.1172 0.7399  0.04
F: 0.8828 0.2601 0.2601  0.04
F: 0.2601 0.8828 0.2601  0.04
F: 0.8293 0.4443 0.8293  0.02
F: 0.5557 0.1707 0.1707  0.02
Ni: 0.5000 0.0000 0.0000  1.83
Ni: 0.0000 0.0000 0.5000  1.83
Ni: 0.0000 0.5000 0.0000  1.83
Hg: 0.0000 0.0000 0.0000  0.00

## Properties
As for the space-group type: No. 166. The value obtained for the total energy is -3.795 eV/atom.